## MnIOF2 (PBE with a Hubbard U)

Data for crystalline MnIOF2 at its relaxed geometry.

Computed properties:
Total magnetization ... 4.6 μB per formula unit
Final energy ... -23.732 eV/cell
Excess energy over the best structure of this formula in the dataset ... 0.0000 eV/atom
DOS(E_F) ... 1.9 states/eV per cell
SG ... P4/mmm

Lattice parameters (Å, degrees): 3.858 3.858 5.196 90.00 90.00 90.00
Fractional coordinates of all 5 atoms:
Mn  0.000  0.000  0.000
I  0.500  0.500  0.500
O  0.000  0.000  0.500
F  0.000  0.500  0.000
F  0.500  0.000  0.000